Computed, not measured: a relaxed Pm2ErTl crystal at the PBE level of DFT.

formation enthalpy at 0 K = -0.0657 eV/atom
M_tot = 0.30 μB per atom
volume = 121 Å³/f.u.
energy above the most stable polymorph in this dataset = 125 meV per atom

a = 7.8484 Å, b = 7.8484 Å, c = 7.8484 Å
α = 90.00°, β = 90.00°, γ = 90.00°
Last column: nearest neighbours and their distance in Å.
Space group Fm-3m (No. 225)
Unique sites:
Pm 0.2500 0.2500 0.2500 [8 per cell]  4 Tl 3.40, 4 Er 3.40
Er 0.0000 0.0000 0.0000 [4 per cell]  8 Pm 3.40
Tl 0.0000 0.0000 0.5000 [4 per cell]  8 Pm 3.40

Computed, not measured: a relaxed PmEr7Tl2 crystal at the PBE level of DFT.

formation enthalpy at 0 K = 0.3684 eV/atom
M_tot = 0.08 μB per atom
volume = 376 Å³/f.u.

a = 9.1134 Å, b = 15.2741 Å, c = 5.4073 Å
α = 90.00°, β = 90.00°, γ = 90.00°
Last column: nearest neighbours and their distance in Å.
Space group Cmmm (No. 65)
Unique sites:
Pm 0.0000 0.0000 0.0000 [2 per cell]  10 Er 3.52-3.68
Er 0.0000 0.2301 0.0000 [4 per cell]  2 Tl 2.94
Er 0.0000 0.5000 0.5000 [2 per cell]  2 Tl 2.98
Er 0.1814 0.1218 0.5000 [8 per cell]  2 Tl 3.11-3.25, 2 Er 3.31-3.45
Tl 0.0000 0.3051 0.5000 [4 per cell]  7 Er 2.94-3.25

Computed, not measured: a relaxed Pm2ErTmTl4 crystal at the PBE level of DFT.

formation enthalpy at 0 K = -0.3422 eV/atom
M_tot = 0.00 μB per atom
volume = 223 Å³/f.u.

a = 5.4010 Å, b = 5.4010 Å, c = 26.5312 Å
α = 90.00°, β = 90.00°, γ = 120.00°
Last column: nearest neighbours and their distance in Å.
Space group R-3m (No. 166, hexagonal axes)
Unique sites:
Pm 0.0000 0.0000 0.2499 [6 per cell]  8 Tl 3.31-3.32
Er 0.0000 0.0000 0.0000 [3 per cell]  8 Tl 3.31-3.32
Tm 0.0000 0.0000 0.5000 [3 per cell]  8 Tl 3.31
Tl 0.0000 0.0000 0.1251 [6 per cell]  3 Tm 3.31, 4 Pm 3.31, 1 Er 3.32
Tl 0.0000 0.0000 0.3751 [6 per cell]  4 Pm 3.31-3.32, 3 Er 3.31, 1 Tm 3.31

Computed, not measured: a relaxed PmErTm2Tl2 crystal at the PBE level of DFT.

formation enthalpy at 0 K = -0.2595 eV/atom
M_tot = 0.00 μB per atom
volume = 172 Å³/f.u.

a = 5.0930 Å, b = 9.9456 Å, c = 6.7870 Å
α = 90.00°, β = 90.00°, γ = 90.00°
Last column: nearest neighbours and their distance in Å.
Space group Pmc2_1 (No. 26)
Unique sites:
Pm 0.0000 0.0415 0.0000 [2 per cell]  5 Tl 3.25-3.51, 2 Pm 3.49, 2 Er 3.52
Er 0.5000 0.1929 0.7200 [2 per cell]  4 Tl 3.17-3.31, 2 Pm 3.52
Tm 0.0000 0.3178 0.3778 [2 per cell]  4 Tl 3.14-3.21, 2 Tm 3.49
Tm 0.5000 0.4569 0.0913 [2 per cell]  5 Tl 3.20-3.51, 4 Tm 3.49-3.50
Tl 0.0000 0.3680 0.8381 [2 per cell]  6 Tm 3.14-3.51, 2 Er 3.19, 1 Pm 3.43
Tl 0.5000 0.1390 0.2603 [2 per cell]  2 Er 3.17-3.31, 3 Tm 3.21-3.36, 4 Pm 3.25-3.51